Entry 1:
Below is a relaxed structure of Sc4Ga3Cu, with properties calculated at the PBE level.

Unit cell a=4.7151 b=4.7151 c=23.1822 alpha=90.00 beta=90.00 gamma=120.00
Space group R-3m (No. 166, hexagonal axes)
Inequivalent atoms, fractional coordinates:
Sc 0.0000 0.0000 0.1234
Sc 0.0000 0.0000 0.3738
Ga 0.0000 0.0000 0.2525
Ga 0.0000 0.0000 0.5000
Cu 0.0000 0.0000 0.0000

Energy relative to the lowest polymorph listed for this composition   0.00 eV per formula unit
Energy relative to the elements   -0.5283 eV per atom
Magnetization   0.000 μB/cell
Energy   -5.341 eV per atom

---

Entry 2:
Below is a relaxed structure of Sc4Ga2Cu, with properties calculated at the PBE level.

Unit cell a=4.884 b=4.884 c=13.569 alpha=90.00 beta=90.00 gamma=90.00
Space group I4/mmm (No. 139)
Inequivalent atoms, fractional coordinates:
Sc 0.000 0.000 0.187
Sc 0.000 0.500 0.000
Ga 0.000 0.000 0.387
Cu 0.000 0.000 0.000

Energy relative to the lowest polymorph listed for this composition   2.28 eV per formula unit
Energy relative to the elements   -0.0541 eV per atom
Magnetization   0.000 μB/cell
Energy   -5.122 eV per atom